# Pr4TePbC

Pr4TePbC after structural relaxation (PBE, Alexandria).

Results
Size of the total moment in μB/cell: 0.0
E_form (uncorrected) in eV/atom: -0.5791
Space-group type: No. 63
Density in kg/m³: 7096

POSCAR file:
```
Pr4TePbC
1.0
3.5892 -8.2510 0.0000
3.5892 8.2510 0.0000
0.0000 0.0000 7.1939
Pr Te Pb C
8 2 2 2
Direct
0.0000 0.5000 0.0000
0.0000 0.5000 0.5000
0.0918 0.9082 0.7500
0.4073 0.5927 0.7500
0.5000 0.0000 0.0000
0.5000 0.0000 0.5000
0.5927 0.4073 0.2500
0.9082 0.0918 0.2500
0.3884 0.6116 0.2500
0.6116 0.3884 0.7500
0.1073 0.8927 0.2500
0.8927 0.1073 0.7500
0.2502 0.7498 0.7500
0.7498 0.2502 0.2500
```